(1)
The following is a DFT calculation (PBE-GGA) of crystalline Nd11Cd9Hg4 at its relaxed geometry.

a b c (Å): 15.2756 23.1740 3.8311
angles (deg): 90.00 90.00 90.00
Space group Cmmm (No. 65)
Asymmetric unit:
Nd: 0.0000 0.0000 0.0000
Nd: 0.0000 0.1669 0.0000
Nd: 0.0000 0.3564 0.0000
Nd: 0.2320 0.5000 0.0000
Nd: 0.2373 0.1744 0.0000
Cd: 0.0000 0.5000 0.5000
Cd: 0.1071 0.2606 0.5000
Cd: 0.1303 0.0774 0.5000
Hg: 0.1474 0.4053 0.5000

Calculated formation energy, kJ/mol of formula units: -808
Energy, eV/atom: -2.927
Magnetic moment, μB/cell: 0.80
Crystal system: orthorhombic

=====

(2)
The following is a DFT calculation (PBE-GGA) of crystalline Nd2Cd15Hg2 at its relaxed geometry.

a b c (Å): 10.1405 10.1405 14.9455
angles (deg): 90.00 90.00 120.00
Space group R-3m (No. 166, hexagonal axes)
Asymmetric unit:
Nd: 0.0000 0.0000 0.1715
Cd: 0.0000 0.3012 0.5000
Cd: 0.0000 0.5000 0.0000
Cd: 0.0170 0.5085 0.6476
Hg: 0.0000 0.0000 0.3954

Calculated formation energy, kJ/mol of formula units: -273
Energy, eV/atom: -1.405
Magnetic moment, μB/cell: 0.00
Crystal system: trigonal

=====

(3)
The following is a DFT calculation (PBE-GGA) of crystalline Nd5Cd4Hg at its relaxed geometry.

a b c (Å): 3.8550 3.8550 19.2424
angles (deg): 90.00 90.00 90.00
Space group P4/mmm (No. 123)
Asymmetric unit:
Nd: 0.0000 0.0000 0.0000
Nd: 0.0000 0.0000 0.2006
Nd: 0.0000 0.0000 0.4013
Cd: 0.5000 0.5000 0.1002
Cd: 0.5000 0.5000 0.2997
Hg: 0.5000 0.5000 0.5000

Calculated formation energy, kJ/mol of formula units: -336
Energy, eV/atom: -3.128
Magnetic moment, μB/cell: 2.08
Crystal system: tetragonal

=====

(4)
The following is a DFT calculation (PBE-GGA) of crystalline Nd2CdHg6 at its relaxed geometry.

a b c (Å): 5.2094 5.2094 9.5870
angles (deg): 90.00 90.00 120.00
Space group P-3m1 (No. 164)
Asymmetric unit:
Nd: 0.3333 0.6667 0.2304
Cd: 0.0000 0.0000 0.0000
Hg: 0.0000 0.0000 0.3404
Hg: 0.3333 0.6667 0.5742
Hg: 0.3333 0.6667 0.9005

Calculated formation energy, kJ/mol of formula units: -287
Energy, eV/atom: -1.693
Magnetic moment, μB/cell: 0.00
Crystal system: trigonal

=====

(5)
The following is a DFT calculation (PBE-GGA) of crystalline NdCdNiHg at its relaxed geometry.

a b c (Å): 7.0395 7.0395 7.0395
angles (deg): 90.00 90.00 90.00
Space group F-43m (No. 216)
Asymmetric unit:
Nd: 0.0000 0.0000 0.0000
Cd: 0.0000 0.0000 0.5000
Ni: 0.2500 0.2500 0.7500
Hg: 0.2500 0.2500 0.2500

Calculated formation energy, kJ/mol of formula units: -70
Energy, eV/atom: -3.123
Magnetic moment, μB/cell: 0.00
Crystal system: cubic

=====

(6)
The following is a DFT calculation (PBE-GGA) of crystalline NdCdHgPb at its relaxed geometry.

a b c (Å): 7.5700 7.5700 7.5700
angles (deg): 90.00 90.00 90.00
Space group F-43m (No. 216)
Asymmetric unit:
Nd: 0.0000 0.0000 0.0000
Cd: 0.0000 0.0000 0.5000
Hg: 0.2500 0.2500 0.2500
Pb: 0.2500 0.2500 0.7500

Calculated formation energy, kJ/mol of formula units: -102
Energy, eV/atom: -2.688
Magnetic moment, μB/cell: 0.00
Crystal system: cubic

=====

(7)
The following is a DFT calculation (PBE-GGA) of crystalline NdCdHgPb at its relaxed geometry.

a b c (Å): 4.5556 4.7210 4.9475
angles (deg): 90.00 90.00 90.00
Space group Pmmm (No. 47)
Asymmetric unit:
Nd: 0.0000 0.0000 0.0000
Cd: 0.0000 0.5000 0.5000
Hg: 0.5000 0.0000 0.5000
Pb: 0.5000 0.5000 0.0000

Calculated formation energy, kJ/mol of formula units: -150
Energy, eV/atom: -2.813
Magnetic moment, μB/cell: 0.00
Crystal system: orthorhombic

=====

(8)
The following is a DFT calculation (PBE-GGA) of crystalline NdCdHgPd at its relaxed geometry.

a b c (Å): 8.5014 4.8953 5.2629
angles (deg): 90.00 122.40 90.00
Space group Cm (No. 8)
Asymmetric unit:
Nd: 0.0000 0.0000 0.0000
Cd: 0.4827 0.0000 0.4470
Hg: 0.2332 0.0000 0.6979
Pd: 0.2734 0.5000 0.3196

Calculated formation energy, kJ/mol of formula units: -189
Energy, eV/atom: -3.285
Magnetic moment, μB/cell: 0.00
Crystal system: monoclinic